[1]
The following is a GGA-PBE calculation of an optimized crystal structure of CaSc2Fe, from Alexandria via LeMat-Bulk.

Cell lengths 4.4883, 4.4982, 4.4895 Å; angles 90.00, 90.00, 90.00 degrees
Closest atoms and distances in Å follow each position.
Fractional coordinates of all 4 atoms:
1 Sc 0.0000 0.0000 0.0000  4 Ca 3.17, 4 Sc 3.18, 4 Fe 3.18
2 Ca 0.5000 0.0000 0.5000  8 Sc 3.17-3.18, 4 Fe 3.18
3 Fe 0.0000 0.5000 0.5000  8 Sc 3.17-3.18, 4 Ca 3.18
4 Sc 0.5000 0.5000 0.0000  4 Fe 3.17, 4 Sc 3.18, 4 Ca 3.18

ΔH_f (0 K), eV per formula unit: 1.54
Polymorph energy (0 for the lowest one), meV per atom: 386
Calculated density, g/cm3: 3.4
DOS(E_F), states/eV/f.u.: 5.088
E_tot, eV per atom: -5.397



[2]
The following is a GGA-PBE calculation of an optimized crystal structure of NaPm2Te4, from Alexandria via LeMat-Bulk.

Cell lengths 7.8095, 6.2712, 9.4694 Å; angles 90.00, 92.88, 90.00 degrees
Closest atoms and distances in Å follow each position.
Fractional coordinates of all 14 atoms:
1 Pm 0.7453 0.7500 0.5610  8 Te 3.23-3.36
2 Na 0.6564 0.2500 0.9646  5 Te 3.23-3.45
3 Te 0.4328 0.9970 0.7220  2 Te 3.10-3.17, 3 Pm 3.14-3.36, 2 Na 3.23-3.45
4 Te 0.9783 0.7500 0.8544  4 Pm 3.08-3.33, 1 Na 3.25
5 Te 0.8843 0.2500 0.5760  4 Pm 2.99-3.32
6 Te 0.5672 0.0030 0.2780  2 Te 3.10-3.17, 3 Pm 3.14-3.36, 2 Na 3.23-3.45
7 Na 0.3436 0.7500 0.0354  5 Te 3.23-3.45
8 Pm 0.2547 0.2500 0.4390  8 Te 3.23-3.36
9 Te 0.0217 0.2500 0.1456  4 Pm 3.08-3.33, 1 Na 3.25
10 Pm 0.8799 0.7500 0.1653  6 Te 2.99-3.33
11 Te 0.5672 0.4970 0.2780  2 Te 3.10-3.17, 3 Pm 3.14-3.36, 2 Na 3.23-3.45
12 Te 0.4328 0.5030 0.7220  2 Te 3.10-3.17, 3 Pm 3.14-3.36, 2 Na 3.23-3.45
13 Pm 0.1201 0.2500 0.8347  6 Te 2.99-3.33
14 Te 0.1157 0.7500 0.4240  4 Pm 2.99-3.32

Calculated density, g/cm3: 5.9
DOS(E_F), states/eV/f.u.: 0.802
E_tot, eV per atom: -4.479



[3]
The following is a GGA-PBE calculation of an optimized crystal structure of NaLiPa2N4, from Alexandria via LeMat-Bulk.

Cell lengths 5.3369, 5.3369, 5.3369 Å; angles 97.65, 115.69, 115.69 degrees
Closest atoms and distances in Å follow each position.
Fractional coordinates of all 8 atoms:
1 N 0.0000 0.1434 0.6146  1 Li 2.08, 2 Pa 2.21, 1 Na 2.29
2 Pa 0.5000 0.7500 0.2500  4 N 2.21
3 N 0.4713 0.8566 0.8566  1 Li 2.08, 2 Pa 2.21, 1 Na 2.29
4 Na 0.0000 0.0000 0.0000  4 N 2.29
5 Li 0.0000 0.5000 0.5000  4 N 2.08
6 Pa 0.5000 0.2500 0.7500  4 N 2.21
7 N 0.5287 0.3854 0.3854  1 Li 2.08, 2 Pa 2.21, 1 Na 2.29
8 N 0.0000 0.6146 0.1434  1 Li 2.08, 2 Pa 2.21, 1 Na 2.29

Calculated density, g/cm3: 8.0
E_tot, eV per atom: -7.930